1.
VASP calculation (PBE) on an optimized crystal structure of Mn4GeMo.

Electronic total energy = -8.59 eV/atom
Spin magnetization = 0.671 μB/atom
ΔH_f (0 K) = 0.6 eV/f.u.

Structure (CIF):
```
data_Mn4GeMo
_cell_length_a 6.686
_cell_length_b 6.686
_cell_length_c 6.686
_cell_angle_alpha 90.00
_cell_angle_beta 90.00
_cell_angle_gamma 90.00
_symmetry_space_group_name_H-M 'F -4 3 m'
_symmetry_Int_Tables_number 216
_symmetry_space_group_name_Hall 'F -4 2 3'
loop_
_atom_site_label
_atom_site_type_symbol
_atom_site_fract_x
_atom_site_fract_y
_atom_site_fract_z
Mn1 Mn 0.125 0.125 0.125
Ge1 Ge 0.250 0.250 0.750
Mo1 Mo 0.000 0.000 0.500
```

2.
VASP calculation (PBE) on an optimized crystal structure of MnGeMo2N.

Electronic total energy = -8.91 eV/atom
Spin magnetization = 0.355 μB/atom

Structure (CIF):
```
data_MnGeMo2N
_cell_length_a 4.142
_cell_length_b 4.142
_cell_length_c 3.809
_cell_angle_alpha 90.00
_cell_angle_beta 90.00
_cell_angle_gamma 90.00
_symmetry_space_group_name_H-M 'P 4/m m m'
_symmetry_Int_Tables_number 123
_symmetry_space_group_name_Hall '-P 4 2'
loop_
_atom_site_label
_atom_site_type_symbol
_atom_site_fract_x
_atom_site_fract_y
_atom_site_fract_z
Mn1 Mn 0.000 0.000 0.000
Ge1 Ge 0.500 0.500 0.000
Mo1 Mo 0.000 0.500 0.500
N1 N 0.000 0.000 0.500
```

3.
VASP calculation (PBE) on an optimized crystal structure of Mn2GeMoN.

Electronic total energy = -8.62 eV/atom
Spin magnetization = 0.540 μB/atom

Structure (CIF):
```
data_Mn2GeMoN
_cell_length_a 3.807
_cell_length_b 3.807
_cell_length_c 4.143
_cell_angle_alpha 90.00
_cell_angle_beta 90.00
_cell_angle_gamma 90.00
_symmetry_space_group_name_H-M 'P 4/m m m'
_symmetry_Int_Tables_number 123
_symmetry_space_group_name_Hall '-P 4 2'
loop_
_atom_site_label
_atom_site_type_symbol
_atom_site_fract_x
_atom_site_fract_y
_atom_site_fract_z
Mn1 Mn 0.000 0.500 0.000
Ge1 Ge 0.000 0.000 0.500
Mo1 Mo 0.500 0.500 0.500
N1 N 0.500 0.500 0.000
```